[1]
VASP calculation (PBE-GGA) on Cd2BiAu8 after structural relaxation.

Results
The uncorrected energy is -32.512 eV for the cell shown. As for the space group: P-1. For the formation energy from the elements, the calculation gives -52.9 meV per atom.

Unit cell a=5.3517 b=5.8255 c=8.0474 alpha=115.39 beta=85.37 gamma=87.24
Closest atoms and distances in Å follow each position.
Sites, in units of the cell vectors:
1 Au 0.6949 0.4237 0.3464  6 Au 2.86-2.97, 3 Cd 2.89-3.10, 1 Bi 3.13
2 Au 0.8587 0.8574 0.6434  6 Au 2.86-2.98, 3 Cd 2.89-3.03, 1 Bi 3.09
3 Au 0.3416 0.0929 0.6713  7 Au 2.85-2.98, 1 Cd 2.96, 1 Bi 3.09
4 Au 0.3051 0.5763 0.6536  6 Au 2.86-2.97, 3 Cd 2.89-3.10, 1 Bi 3.13
5 Au 0.9813 0.2535 0.9903  5 Au 2.83-3.02, 2 Cd 2.89-2.97, 2 Bi 3.04-3.10
6 Au 0.1413 0.1426 0.3566  6 Au 2.86-2.98, 3 Cd 2.89-3.03, 1 Bi 3.09
7 Au 0.6584 0.9071 0.3287  7 Au 2.85-2.98, 1 Cd 2.96, 1 Bi 3.09
8 Au 0.0187 0.7465 0.0097  5 Au 2.83-3.02, 2 Cd 2.89-2.97, 2 Bi 3.04-3.10
9 Bi 0.5000 0.0000 0.0000  10 Au 3.04-3.13
10 Cd 0.7877 0.3840 0.7031  9 Au 2.89-3.10
11 Cd 0.2123 0.6160 0.2969  9 Au 2.89-3.10



[2]
VASP calculation (PBE-GGA) on Cd2BiAu after structural relaxation.

Results
The uncorrected energy is -8.831 eV for the cell shown. As for the space group: R-3m. For the formation energy from the elements, the calculation gives 39.3 meV per atom.

Unit cell a=3.9999 b=3.9999 c=7.8990 alpha=75.33 beta=75.33 gamma=60.00
Closest atoms and distances in Å follow each position.
Sites, in units of the cell vectors:
1 Au 0.0000 0.0000 0.0000  6 Cd 2.82
2 Cd 0.7383 0.7383 0.7852  3 Au 2.82, 3 Bi 3.16
3 Cd 0.2617 0.2617 0.2148  3 Au 2.82, 3 Bi 3.16
4 Bi 0.5000 0.5000 0.5000  6 Cd 3.16



[3]
VASP calculation (PBE-GGA) on Cd4Bi3Au4 after structural relaxation.

Results
The uncorrected energy is -28.952 eV for the cell shown. As for the space group: Immm. For the formation energy from the elements, the calculation gives -49.1 meV per atom.

Unit cell a=4.4465 b=7.5650 c=9.0941 alpha=114.58 beta=104.15 gamma=90.00
Closest atoms and distances in Å follow each position.
Sites, in units of the cell vectors:
1 Au 0.5000 0.2164 0.0000  2 Cd 2.85, 6 Bi 3.09-3.17
2 Au 0.8032 0.3032 0.6063  6 Cd 2.81-2.91, 1 Bi 3.14
3 Au 0.1968 0.6968 0.3937  6 Cd 2.81-2.91, 1 Bi 3.14
4 Au 0.5000 0.7836 0.0000  2 Cd 2.85, 6 Bi 3.09-3.17
5 Cd 0.6768 0.8997 0.3536  4 Au 2.81-2.91
6 Cd 0.6768 0.4538 0.3536  4 Au 2.81-2.91
7 Cd 0.3232 0.5462 0.6464  4 Au 2.81-2.91
8 Cd 0.3232 0.1003 0.6464  4 Au 2.81-2.91
9 Bi 0.9023 0.9023 0.8047  1 Bi 3.11, 4 Au 3.17, 4 Cd 3.31
10 Bi 0.0000 0.5000 0.0000  6 Au 3.09-3.14
11 Bi 0.0977 0.0977 0.1953  1 Bi 3.11, 4 Au 3.17, 4 Cd 3.31



Per-record spin magnetization, μB/cell: 0.000; 0.000; 0.000